Below is an optimized crystal structure of TlAgTe2, with properties calculated at the PBE level.

```
data_TlAgTe2
_chemical_formula_sum 'Tl2 Ag2 Te4'
_cell_length_a 4.835
_cell_length_b 6.453
_cell_length_c 9.022
_cell_angle_alpha 75.02
_cell_angle_beta 88.26
_cell_angle_gamma 74.27
_symmetry_space_group_name_H-M 'P 1'
_symmetry_Int_Tables_number 1
_symmetry_space_group_name_Hall 'P 1'
loop_
_atom_site_label
_atom_site_fract_x
_atom_site_fract_y
_atom_site_fract_z
Tl1 0.000 0.000 0.000
Tl2 0.116 0.469 0.546
Ag1 0.441 0.787 0.734
Ag2 0.779 0.566 0.041
Te1 0.320 0.422 0.933
Te2 0.512 0.741 0.279
Te3 0.616 0.146 0.301
Te4 0.847 0.998 0.611
```

Calculated values
Density of states at the Fermi level (states/eV/f.u.): 0.00
E_form (uncorrected) (meV per atom): -118.2



Below is an optimized crystal structure of CsSr3V, with properties calculated at the PBE level.

```
data_CsSr3V
_chemical_formula_sum 'Cs1 Sr3 V1'
_cell_length_a 6.318
_cell_length_b 6.318
_cell_length_c 6.318
_cell_angle_alpha 90.00
_cell_angle_beta 90.00
_cell_angle_gamma 90.00
_symmetry_space_group_name_H-M 'P m -3 m'
_symmetry_Int_Tables_number 221
_symmetry_space_group_name_Hall '-P 4 2 3'
loop_
_atom_site_label
_atom_site_fract_x
_atom_site_fract_y
_atom_site_fract_z
Cs1 0.000 0.000 0.000
Sr1 0.000 0.000 0.500
V1 0.500 0.500 0.500
```

Calculated values
Offset from the most stable computed form (kJ/mol of formula units): 345
Density of states at the Fermi level (states/eV/f.u.): 9.31
Formation energy from the elements (eV per atom): 1.4959



Below is an optimized crystal structure of Co3SiSb, with properties calculated at the PBE level.

```
data_Co3SiSb
_chemical_formula_sum 'Co3 Si1 Sb1'
_cell_length_a 4.632
_cell_length_b 4.632
_cell_length_c 4.632
_cell_angle_alpha 90.00
_cell_angle_beta 90.00
_cell_angle_gamma 90.00
_symmetry_space_group_name_H-M 'P m -3 m'
_symmetry_Int_Tables_number 221
_symmetry_space_group_name_Hall '-P 4 2 3'
loop_
_atom_site_label
_atom_site_fract_x
_atom_site_fract_y
_atom_site_fract_z
Co1 0.000 0.000 0.500
Si1 0.500 0.500 0.500
Sb1 0.000 0.000 0.000
```

Calculated values
Offset from the most stable computed form (kJ/mol of formula units): 453
Density of states at the Fermi level (states/eV/f.u.): 5.81
E_form (uncorrected) (meV per atom): 1363.4



Below is an optimized crystal structure of KTaCu3, with properties calculated at the PBE level.

```
data_KTaCu3
_chemical_formula_sum 'K1 Ta1 Cu3'
_cell_length_a 4.981
_cell_length_b 4.981
_cell_length_c 4.981
_cell_angle_alpha 90.00
_cell_angle_beta 90.00
_cell_angle_gamma 90.00
_symmetry_space_group_name_H-M 'P m -3 m'
_symmetry_Int_Tables_number 221
_symmetry_space_group_name_Hall '-P 4 2 3'
loop_
_atom_site_label
_atom_site_fract_x
_atom_site_fract_y
_atom_site_fract_z
K1 0.000 0.000 0.000
Ta1 0.500 0.500 0.500
Cu1 0.000 0.500 0.500
```

Calculated values
Offset from the most stable computed form (kJ/mol of formula units): 0
Density of states at the Fermi level (states/eV/f.u.): 3.91
Formation energy from the elements (eV per atom): 1.0410



Below is an optimized crystal structure of ZnReIr, with properties calculated at the PBE level.

```
data_ZnReIr
_chemical_formula_sum 'Zn4 Re4 Ir4'
_cell_length_a 2.786
_cell_length_b 4.695
_cell_length_c 13.639
_cell_angle_alpha 90.00
_cell_angle_beta 90.00
_cell_angle_gamma 90.00
_symmetry_space_group_name_H-M 'F m m 2'
_symmetry_Int_Tables_number 42
_symmetry_space_group_name_Hall 'F 2 -2'
loop_
_atom_site_label
_atom_site_fract_x
_atom_site_fract_y
_atom_site_fract_z
Zn1 0.000 0.000 0.000
Re1 0.000 0.000 0.670
Ir1 0.000 0.000 0.335
```

Calculated values
Offset from the most stable computed form (kJ/mol of formula units): 98
Density of states at the Fermi level (states/eV/f.u.): 2.47
Formation energy from the elements (eV per atom): 0.1742



Below is an optimized crystal structure of NdMnSe3, with properties calculated at the PBE level.

```
data_NdMnSe3
_chemical_formula_sum 'Nd4 Mn4 Se12'
_cell_length_a 11.612
_cell_length_b 3.861
_cell_length_c 10.946
_cell_angle_alpha 90.00
_cell_angle_beta 106.03
_cell_angle_gamma 90.00
_symmetry_space_group_name_H-M 'C 1 2/m 1'
_symmetry_Int_Tables_number 12
_symmetry_space_group_name_Hall '-C 2y'
loop_
_atom_site_label
_atom_site_fract_x
_atom_site_fract_y
_atom_site_fract_z
Nd1 0.063 0.000 0.364
Mn1 0.241 0.000 0.154
Se1 0.104 0.500 0.174
Se2 0.136 0.000 0.885
Se3 0.142 0.500 0.588
```

Calculated values
Offset from the most stable computed form (kJ/mol of formula units): 18
Density of states at the Fermi level (states/eV/f.u.): 1.16
E_form (uncorrected) (meV per atom): -1069.4



Number 1 is which compound? TlAgTe2



What did the first record say?
Below is an optimized crystal structure of TlAgTe2, with properties calculated at the PBE level.

```
data_TlAgTe2
_chemical_formula_sum 'Tl2 Ag2 Te4'
_cell_length_a 4.835
_cell_length_b 6.453
_cell_length_c 9.022
_cell_angle_alpha 75.02
_cell_angle_beta 88.26
_cell_angle_gamma 74.27
_symmetry_space_group_name_H-M 'P 1'
_symmetry_Int_Tables_number 1
_symmetry_space_group_name_Hall 'P 1'
loop_
_atom_site_label
_atom_site_fract_x
_atom_site_fract_y
_atom_site_fract_z
Tl1 0.000 0.000 0.000
Tl2 0.116 0.469 0.546
Ag1 0.441 0.787 0.734
Ag2 0.779 0.566 0.041
Te1 0.320 0.422 0.933
Te2 0.512 0.741 0.279
Te3 0.616 0.146 0.301
Te4 0.847 0.998 0.611
```

Calculated values
Density of states at the Fermi level (states/eV/f.u.): 0.00
E_form (uncorrected) (meV per atom): -118.2



Among the records above, which one has the lowest density of states at the Fermi level? TlAgTe2